(1)
VASP calculation (GGA-PBE) on a relaxed structure of MgMn2CrTc. Values from VASP.

Geometry as Quantum ESPRESSO input:
```
&SYSTEM
  ibrav = 0, nat = 5, ntyp = 4
/
ATOMIC_SPECIES
Cr 52.00 Cr.upf
Mn 54.94 Mn.upf
Tc 98.00 Tc.upf
Mg 24.30 Mg.upf
CELL_PARAMETERS angstrom
4.076 0.000 0.000
0.000 4.600 0.000
0.000 0.000 4.076
ATOMIC_POSITIONS angstrom
Cr 0.000 0.000 0.000
Mn 0.000 0.000 2.038
Mn 2.038 0.000 0.000
Tc 2.038 2.300 2.038
Mg 0.000 2.300 0.000
```

- E above lowest polymorph: 0.000 eV per atom
- Formation energy: 7.2 eV/f.u.
- Electronic total energy: -6.544 eV per atom
- SG: P4/mmm (123)


(2)
VASP calculation (GGA-PBE) on a relaxed structure of MgMn2CrTc. Values from VASP.

Geometry as Quantum ESPRESSO input:
```
&SYSTEM
  ibrav = 0, nat = 5, ntyp = 4
/
ATOMIC_SPECIES
Mn 54.94 Mn.upf
Cr 52.00 Cr.upf
Tc 98.00 Tc.upf
Mg 24.30 Mg.upf
CELL_PARAMETERS angstrom
4.426 0.000 0.000
0.000 4.532 0.000
0.000 0.000 4.426
ATOMIC_POSITIONS angstrom
Mn 2.213 0.000 0.000
Mn 0.000 0.000 2.213
Cr 2.213 2.266 2.213
Tc 0.000 2.266 0.000
Mg 0.000 0.000 0.000
```

- E above lowest polymorph: 0.571 eV per atom
- Formation energy: 10.1 eV/f.u.
- Electronic total energy: -5.973 eV per atom
- SG: P4/mmm (123)


(3)
VASP calculation (GGA-PBE) on a relaxed structure of MgMnCr2Te. Values from VASP.

Geometry as Quantum ESPRESSO input:
```
&SYSTEM
  ibrav = 0, nat = 5, ntyp = 4
/
ATOMIC_SPECIES
Mn 54.94 Mn.upf
Cr 52.00 Cr.upf
Mg 24.30 Mg.upf
Te 127.60 Te.upf
CELL_PARAMETERS angstrom
4.716 0.000 0.000
0.000 4.656 0.000
0.000 0.000 4.716
ATOMIC_POSITIONS angstrom
Mn 0.000 2.328 0.000
Cr 2.358 0.000 0.000
Cr 0.000 0.000 2.358
Mg 2.358 2.328 2.358
Te 0.000 0.000 0.000
```

- Formation energy (no corrections): 1525 meV/atom
- Electronic total energy: -5.106 eV per atom
- SG: P4/mmm (123)


(4)
VASP calculation (GGA-PBE) on a relaxed structure of Mg2MnVCr. Values from VASP.

Geometry as Quantum ESPRESSO input:
```
&SYSTEM
  ibrav = 0, nat = 5, ntyp = 4
/
ATOMIC_SPECIES
Mn 54.94 Mn.upf
Mg 24.30 Mg.upf
Cr 52.00 Cr.upf
V 50.94 V.upf
CELL_PARAMETERS angstrom
-3.226 -3.598 0.072
0.350 -0.395 -4.040
3.574 -3.193 0.622
ATOMIC_POSITIONS angstrom
Mn 0.000 0.000 0.000
Mg 1.787 -1.596 0.311
Mg -1.613 -1.799 0.036
Cr 0.175 -0.197 -2.020
V 0.349 -3.593 -1.673
```

- Formation energy: 5.7 eV/f.u.
- Electronic total energy: -5.078 eV per atom
- SG: P4/mmm (123)


(5)
VASP calculation (GGA-PBE) on a relaxed structure of MgMnCrW2. Values from VASP.

Geometry as Quantum ESPRESSO input:
```
&SYSTEM
  ibrav = 0, nat = 5, ntyp = 4
/
ATOMIC_SPECIES
Mg 24.30 Mg.upf
W 183.84 W.upf
Cr 52.00 Cr.upf
Mn 54.94 Mn.upf
CELL_PARAMETERS angstrom
-1.475 -2.194 3.563
-1.034 -3.528 -2.601
4.058 -1.670 0.652
ATOMIC_POSITIONS angstrom
Mg -0.517 -1.764 -1.300
W -0.738 -1.097 1.782
W 2.029 -0.835 0.326
Cr 0.774 -3.696 0.807
Mn 0.000 0.000 0.000
```

- Formation energy: 8.0 eV/f.u.
- Electronic total energy: -7.652 eV per atom
- SG: P4/mmm (123)


(6)
VASP calculation (GGA-PBE) on a relaxed structure of MgCrMo2. Values from VASP.

Geometry as Quantum ESPRESSO input:
```
&SYSTEM
  ibrav = 0, nat = 4, ntyp = 3
/
ATOMIC_SPECIES
Mo 95.94 Mo.upf
Cr 52.00 Cr.upf
Mg 24.30 Mg.upf
CELL_PARAMETERS angstrom
2.585 0.000 0.000
0.000 4.420 0.000
0.000 0.000 5.398
ATOMIC_POSITIONS angstrom
Mo 1.292 2.210 1.371
Mo 0.000 0.000 0.006
Cr 0.000 0.000 2.698
Mg 1.292 2.210 4.023
```

- Formation energy: 1.9 eV/f.u.
- Electronic total energy: -7.750 eV per atom
- SG: Pmm2 (25)


(7)
VASP calculation (GGA-PBE) on a relaxed structure of MgCrMo2. Values from VASP.

Geometry as Quantum ESPRESSO input:
```
&SYSTEM
  ibrav = 0, nat = 4, ntyp = 3
/
ATOMIC_SPECIES
Mo 95.94 Mo.upf
Mg 24.30 Mg.upf
Cr 52.00 Cr.upf
CELL_PARAMETERS angstrom
2.706 0.000 0.000
0.000 2.706 0.000
0.000 0.000 8.628
ATOMIC_POSITIONS angstrom
Mo 0.000 0.000 4.119
Mo 0.000 0.000 0.196
Mg 1.353 1.353 6.471
Cr 1.353 1.353 2.157
```

- Formation energy: 1.7 eV/f.u.
- Electronic total energy: -7.797 eV per atom
- SG: P4/mmm (123)


(8)
VASP calculation (GGA-PBE) on a relaxed structure of MgCr2Mo. Values from VASP.

Geometry as Quantum ESPRESSO input:
```
&SYSTEM
  ibrav = 0, nat = 4, ntyp = 3
/
ATOMIC_SPECIES
Mo 95.94 Mo.upf
Mg 24.30 Mg.upf
Cr 52.00 Cr.upf
CELL_PARAMETERS angstrom
2.548 0.000 0.000
0.000 2.548 0.000
0.000 0.000 8.985
ATOMIC_POSITIONS angstrom
Mo 1.274 1.274 6.739
Mg 1.274 1.274 2.246
Cr 0.000 0.000 8.959
Cr 0.000 0.000 4.519
```

- Formation energy: 2.2 eV/f.u.
- Electronic total energy: -7.367 eV per atom
- SG: P4/mmm (123)


Q: The highest electronic total energy belongs to which entry?
A: Mg2MnVCr